VASP calculation (PBE) on crystalline Tl2SiTe at its relaxed geometry.

Offset from the most stable computed form ... 139 meV per atom
VASP energy ... -3.06 eV per atom
E_form (uncorrected) ... 0.27 eV/atom
Crystal system ... tetragonal

a = 6.4390 Å, b = 6.4390 Å, c = 6.4390 Å
α = 139.28°, β = 139.28°, γ = 58.95°
With the nearest neighbours (Å) after each atom.
Fractional coordinates of all 4 atoms:
Tl1 0.2500 0.7500 0.5000  4 Tl 3.17
Tl2 0.7500 0.2500 0.5000  4 Tl 3.17
Si1 0.0000 0.0000 0.0000  4 Te 3.17
Te1 0.5000 0.5000 0.0000  4 Si 3.17